[1]
Here is Sc5ZnPd after structural relaxation from Alexandria. Energies are from PBE.

**N(E_F)**: 1.0990 states/eV/atom
**M_tot**: 0.000 μB/cell
**Formation energy from the elements**: -231.2 meV per atom

Cell lengths 5.874, 5.874, 8.959 Å; angles 92.03, 92.03, 90.33 degrees
Positions (direct):
Sc  0.060  0.615  0.337
Sc  0.149  0.851  0.750
Sc  0.235  0.419  0.999
Sc  0.385  0.940  0.163
Sc  0.419  0.235  0.499
Sc  0.581  0.765  0.501
Sc  0.615  0.060  0.837
Sc  0.765  0.581  0.001
Sc  0.851  0.149  0.250
Sc  0.940  0.385  0.663
Zn  0.480  0.520  0.750
Zn  0.520  0.480  0.250
Pd  0.000  0.000  0.000
Pd  0.000  0.000  0.500



[2]
Here is ScZnPd6 after structural relaxation from Alexandria. Energies are from PBE.

**N(E_F)**: 0.5425 states/eV/atom
**M_tot**: 0.000 μB/cell
**Formation energy from the elements**: -277.9 meV per atom

Cell lengths 7.843, 5.341, 7.212 Å; angles 90.00, 110.40, 90.00 degrees
Positions (direct):
Sc  0.000  0.000  0.000
Sc  0.500  0.500  0.000
Zn  0.000  0.500  0.500
Zn  0.500  0.000  0.500
Pd  0.147  0.000  0.438
Pd  0.193  0.243  0.798
Pd  0.193  0.757  0.798
Pd  0.307  0.257  0.202
Pd  0.307  0.743  0.202
Pd  0.353  0.500  0.562
Pd  0.647  0.500  0.438
Pd  0.693  0.257  0.798
Pd  0.693  0.743  0.798
Pd  0.807  0.243  0.202
Pd  0.807  0.757  0.202
Pd  0.853  0.000  0.562



[3]
Here is Sc11Zn9Pd4 after structural relaxation from Alexandria. Energies are from PBE.

**N(E_F)**: 0.8279 states/eV/atom
**M_tot**: 0.000 μB/cell
**Formation energy from the elements**: -532.0 meV per atom

Cell lengths 11.926, 11.926, 3.383 Å; angles 90.00, 90.00, 111.93 degrees
Positions (direct):
Sc  0.000  0.000  0.000
Sc  0.070  0.413  0.000
Sc  0.169  0.831  0.000
Sc  0.264  0.264  0.000
Sc  0.358  0.642  0.000
Sc  0.413  0.070  0.000
Sc  0.587  0.930  0.000
Sc  0.642  0.358  0.000
Sc  0.736  0.736  0.000
Sc  0.831  0.169  0.000
Sc  0.930  0.587  0.000
Zn  0.048  0.208  0.500
Zn  0.151  0.630  0.500
Zn  0.208  0.048  0.500
Zn  0.370  0.849  0.500
Zn  0.500  0.500  0.500
Zn  0.630  0.151  0.500
Zn  0.792  0.952  0.500
Zn  0.849  0.370  0.500
Zn  0.952  0.792  0.500
Pd  0.258  0.444  0.500
Pd  0.444  0.258  0.500
Pd  0.556  0.742  0.500
Pd  0.742  0.556  0.500